No. 1
A plane-wave DFT calculation with PBE was carried out for a relaxed CuBC crystal.

Structure (POSCAR):
```
CuBC
1.0
-2.114 -2.882 -2.902
3.662 -2.621 0.929
-2.259 0.018 3.406
Cu B C
2 2 2
direct
0.240 0.175 0.051
0.706 0.641 0.052
0.716 0.168 0.552
0.217 0.667 0.052
0.477 0.920 0.280
0.963 0.406 0.824
```

Calculated values
ρ: 3.68 g cm⁻³
raw total energy: -37.08 eV/cell

No. 2
A plane-wave DFT calculation with PBE was carried out for a relaxed CuBC crystal.

Structure (POSCAR):
```
CuBC
1.0
-4.967 7.483 0.547
-1.248 -1.075 3.373
2.793 1.738 1.587
Cu B C
4 4 4
direct
0.233 0.250 0.008
0.267 0.750 0.508
0.733 0.250 0.492
0.767 0.750 0.992
0.500 0.500 0.500
0.000 0.500 0.000
0.500 0.000 0.500
0.000 0.000 0.000
0.128 0.750 0.006
0.372 0.250 0.506
0.628 0.750 0.494
0.872 0.250 0.994
```

Calculated values
ρ: 4.65 g cm⁻³
raw total energy: -72.71 eV/cell

No. 3
A plane-wave DFT calculation with PBE was carried out for a relaxed CuBC crystal.

Structure (POSCAR):
```
CuBC
1.0
4.602 0.038 -0.003
-1.038 4.473 -0.001
1.411 -1.110 3.109
C Cu B
2 2 2
direct
0.942 0.441 0.860
0.442 0.941 0.860
0.775 0.607 0.526
0.275 0.107 0.526
0.692 0.191 0.860
0.192 0.691 0.860
```

Calculated values
ρ: 4.47 g cm⁻³
raw total energy: -37.52 eV/cell

No. 4
A plane-wave DFT calculation with PBE was carried out for a relaxed CuBC crystal.

Structure (POSCAR):
```
CuBC
1.0
2.749 0.000 0.000
0.000 2.749 0.000
0.000 0.000 6.794
Cu C B
2 2 2
direct
0.500 0.000 0.125
0.000 0.500 0.875
0.500 0.000 0.636
0.000 0.500 0.364
0.000 0.000 0.500
0.500 0.500 0.500
```

Calculated values
ρ: 5.59 g cm⁻³
raw total energy: -35.60 eV/cell

No. 5
A plane-wave DFT calculation with PBE was carried out for a relaxed CuBC crystal.

Structure (POSCAR):
```
CuBC
1.0
5.509 -0.304 0.003
-0.444 3.797 -0.023
-2.308 -3.634 2.734
Cu C B
2 2 2
direct
0.816 0.857 0.299
0.373 0.911 0.300
0.271 0.461 0.378
0.997 0.464 0.378
0.274 0.085 0.972
0.589 0.028 0.972
```

Calculated values
ρ: 5.09 g cm⁻³
raw total energy: -37.47 eV/cell

No. 6
A plane-wave DFT calculation with PBE was carried out for a relaxed CuBC crystal.

Structure (POSCAR):
```
CuBC
1.0
4.186 0.171 0.121
-0.152 3.748 -0.129
-0.667 0.116 4.141
B C Cu
2 2 2
direct
0.242 0.234 0.666
0.859 0.234 0.285
0.050 0.918 0.475
0.050 0.550 0.475
0.742 0.235 0.785
0.359 0.235 0.166
```

Calculated values
ρ: 4.38 g cm⁻³
raw total energy: -37.10 eV/cell

No. 7
A plane-wave DFT calculation with PBE was carried out for a relaxed CuBC crystal.

Structure (POSCAR):
```
CuBC
1.0
-2.885 -0.917 2.094
2.086 -2.629 -1.512
3.355 0.003 4.624
B C Cu
2 2 2
direct
0.000 0.000 0.250
0.000 0.000 0.750
0.000 0.000 0.500
0.000 0.000 0.000
0.667 0.333 0.750
0.333 0.667 0.250
```

Calculated values
ρ: 4.28 g cm⁻³
raw total energy: -35.76 eV/cell

No. 8
A plane-wave DFT calculation with PBE was carried out for a relaxed CuBC crystal.

Structure (POSCAR):
```
CuBC
1.0
-1.762 2.879 3.428
-4.056 2.459 -0.794
-1.340 -1.634 1.791
Cu C B
2 2 2
direct
0.057 0.452 0.538
0.057 0.952 0.038
0.557 0.727 0.722
0.557 0.227 0.222
0.557 0.560 0.224
0.557 0.060 0.724
```

Calculated values
ρ: 5.46 g cm⁻³
raw total energy: -39.05 eV/cell

No. 9
A plane-wave DFT calculation with PBE was carried out for a relaxed CuBC crystal.

Structure (POSCAR):
```
CuBC
1.0
-4.028 -3.368 -5.865
1.532 -2.297 0.267
-3.161 -1.740 3.170
B C Cu
4 4 4
direct
0.250 0.750 0.861
0.750 0.250 0.139
0.750 0.750 0.639
0.250 0.250 0.361
0.250 0.750 0.193
0.250 0.250 0.693
0.750 0.750 0.307
0.750 0.250 0.807
0.500 0.750 0.250
0.500 0.250 0.750
0.000 0.250 0.750
0.000 0.750 0.250
```

Calculated values
ρ: 5.47 g cm⁻³
raw total energy: -78.08 eV/cell

No. 10
A plane-wave DFT calculation with PBE was carried out for a relaxed CuBC crystal.

Structure (POSCAR):
```
CuBC
1.0
6.405 0.000 0.000
0.000 2.816 0.000
0.000 0.000 6.798
Cu C B
4 4 4
direct
0.876 0.250 0.391
0.624 0.750 0.891
0.376 0.250 0.109
0.124 0.750 0.609
0.062 0.250 0.157
0.438 0.750 0.657
0.938 0.750 0.843
0.562 0.250 0.343
0.072 0.750 0.074
0.428 0.250 0.574
0.572 0.750 0.426
0.928 0.250 0.926
```

Calculated values
ρ: 4.68 g cm⁻³
raw total energy: -73.25 eV/cell

No. 11
A plane-wave DFT calculation with PBE was carried out for a relaxed CuBC crystal.

Structure (POSCAR):
```
CuBC
1.0
4.369 0.005 0.000
-1.971 4.249 0.000
0.000 0.000 2.765
B Cu C
2 2 2
direct
0.262 0.704 0.884
0.762 0.204 0.387
0.222 0.156 0.054
0.722 0.656 0.215
0.926 0.378 0.883
0.426 0.878 0.388
```

Calculated values
ρ: 5.59 g cm⁻³
raw total energy: -38.81 eV/cell

No. 12
A plane-wave DFT calculation with PBE was carried out for a relaxed CuBC crystal.

Structure (POSCAR):
```
CuBC
1.0
-2.758 -0.662 2.853
-1.781 -3.978 -2.644
1.762 -3.169 0.972
C B Cu
2 2 2
direct
0.217 0.984 0.768
0.217 0.535 0.998
0.511 0.759 0.883
0.923 0.759 0.883
0.218 0.416 0.556
0.217 0.102 0.210
```

Calculated values
ρ: 3.99 g cm⁻³
raw total energy: -35.91 eV/cell